[1]
Material: LaPmYGa
Method: DFT, PBE-GGA
State: optimized geometry

Results
DFT total energy: -4.8746 eV per atom
Total magnetic moment: 1.39 μB per formula unit

a b c (Å): 7.7350 7.7350 7.7350
angles (deg): 90.00 90.00 90.00
Space group F-43m (No. 216)
Unique sites:
1 La 0.0000 0.0000 0.0000 x4
2 Pm 0.2500 0.2500 0.2500 x4
3 Y 0.0000 0.0000 0.5000 x4
4 Ga 0.2500 0.2500 0.7500 x4

[2]
Material: LaPm2Zn2Ga2
Method: DFT, PBE-GGA
State: optimized geometry

Results
DFT total energy: -3.6998 eV per atom
Total magnetic moment: 0.00 μB per formula unit

a b c (Å): 4.5279 4.5279 28.9222
angles (deg): 90.00 90.00 120.00
Space group R-3m (No. 166, hexagonal axes)
Unique sites:
1 La 0.0000 0.0000 0.0000 x3
2 Pm 0.0000 0.0000 0.1285 x6
3 Zn 0.0000 0.0000 0.4047 x6
4 Ga 0.0000 0.0000 0.2606 x6

[3]
Material: La3Pm3Zn2Ga
Method: DFT, PBE-GGA
State: optimized geometry

Results
DFT total energy: -4.0658 eV per atom
Total magnetic moment: 0.00 μB per formula unit

a b c (Å): 8.1492 8.1492 4.5367
angles (deg): 90.00 90.00 120.00
Space group P-62m (No. 189)
Unique sites:
1 La 0.0000 0.7282 0.0000 x3
2 Pm 0.0000 0.4043 0.5000 x3
3 Zn 0.3333 0.6667 0.0000 x2
4 Ga 0.0000 0.0000 0.5000 x1

[4]
Material: LaPr4Ga
Method: DFT, PBE-GGA
State: optimized geometry

Results
DFT total energy: -4.2518 eV per atom
Energy relative to the lowest polymorph listed for this composition: 419 meV/atom
Total magnetic moment: 0.00 μB per formula unit

a b c (Å): 11.3811 11.3811 6.9150
angles (deg): 90.00 90.00 90.00
Space group I4_1md (No. 109)
Unique sites:
1 La 0.0000 0.0000 0.0000 x4
2 Pr 0.0000 0.2276 0.2292 x8
3 Pr 0.0000 0.2436 0.7100 x8
4 Ga 0.0000 0.0000 0.5025 x4

[5]
Material: La4PrGa
Method: DFT, PBE-GGA
State: optimized geometry

Results
DFT total energy: -4.7621 eV per atom
Energy relative to the lowest polymorph listed for this composition: 0 meV/atom
Total magnetic moment: 0.00 μB per formula unit

a b c (Å): 3.7848 3.7848 13.9647
angles (deg): 90.00 90.00 90.00
Space group P4/mmm (No. 123)
Unique sites:
1 La 0.0000 0.0000 0.1293 x2
2 La 0.5000 0.5000 0.3148 x2
3 Pr 0.0000 0.0000 0.5000 x1
4 Ga 0.5000 0.5000 0.0000 x1

[6]
Material: La5PrGa3
Method: DFT, PBE-GGA
State: optimized geometry

Results
DFT total energy: -4.6546 eV per atom
Total magnetic moment: 0.00 μB per formula unit

a b c (Å): 9.3228 9.3228 6.9909
angles (deg): 90.00 90.00 120.00
Space group P6_3/mcm (No. 193)
Unique sites:
1 La 0.0000 0.3370 0.2500 x6
2 La 0.3333 0.6667 0.0000 x4
3 Pr 0.0000 0.0000 0.0000 x2
4 Ga 0.0000 0.3286 0.7500 x6